The following is a DFT calculation (PBE with a Hubbard U) of CrCuPtO6 after structural relaxation.

Lattice parameters (Å, degrees): 5.0781 5.0781 8.5403 90.00 90.00 120.00
Last column: nearest neighbours and their distance in Å.
Space group P-31c (No. 163)
Asymmetric unit:
1 Cr 0.3333 0.6667 0.2500 x2  6 O 1.95
2 Cu 0.0000 0.0000 0.0000 x2  6 O 2.07
3 Pt 0.3333 0.6667 0.7500 x2  6 O 1.99
4 O 0.0065 0.3529 0.1246 x12  1 Cr 1.95, 1 Pt 1.99, 1 Cu 2.07

As for the volume: 10.60 A^3/atom. The calculation puts the raw total energy at -5.95 eV per atom.